(1)
SrMnSb2: PBEsol geometry, SCAN.

Properties
N(E_F) in states/eV per atom: 0.363
Space group: Imm2, No. 44
DFT total energy in eV per atom: -29.130

Cell: 7.9996 7.9996 7.9996 Å, 154.37 151.82 38.46°
Fractional positions:
Sr (0.0000, 0.0000, 0.0000)
Mn (0.2380, 0.7380, 0.5000)
Sb (0.3680, 0.3680, 0.0000)
Sb (0.6766, 0.1766, 0.5000)

=====

(2)
Sr2MnSb: PBEsol geometry, SCAN.

Properties
N(E_F) in states/eV per atom: 0.597
Space group: Pmmm, No. 47
DFT total energy in eV per atom: -25.407

Cell: 3.8820 4.3034 7.2723 Å, 90.00 90.00 90.00°
Fractional positions:
Sr (0.0000, 0.0000, 0.2428)
Sr (0.0000, 0.0000, 0.7572)
Mn (0.5000, 0.5000, 0.5000)
Sb (0.5000, 0.5000, 0.0000)

=====

(3)
Ta2MnSb: PBEsol geometry, SCAN.

Properties
N(E_F) in states/eV per atom: 0.533
Space group: Amm2, No. 38
DFT total energy in eV per atom: -47.018

Cell: 4.0332 5.5029 5.5029 Å, 33.93 90.00 90.00°
Fractional positions:
Ta (0.0000, 0.0000, 0.0000)
Ta (0.5000, 0.3527, 0.3527)
Mn (0.0000, 0.7795, 0.7795)
Sb (0.5000, 0.6243, 0.6243)

=====

(4)
TaMnSb: PBEsol geometry, SCAN.

Properties
N(E_F) in states/eV per atom: 0.796
Space group: I4mm, No. 107
DFT total energy in eV per atom: -40.412

Cell: 5.4875 5.4875 5.4875 Å, 147.32 147.32 46.90°
Fractional positions:
Ta (0.0000, 0.0000, 0.0000)
Mn (0.6488, 0.6488, 0.0000)
Sb (0.3001, 0.3001, 0.0000)

=====

(5)
Ta2MnSb: PBEsol geometry, SCAN.

Properties
N(E_F) in states/eV per atom: 0.937
Space group: P4mm, No. 99
DFT total energy in eV per atom: -47.027

Cell: 3.1781 3.1781 6.5620 Å, 90.00 90.00 90.00°
Fractional positions:
Ta (0.0000, 0.0000, 0.0000)
Ta (0.5000, 0.5000, 0.2793)
Mn (0.5000, 0.5000, 0.7962)
Sb (0.0000, 0.0000, 0.5546)

=====

(6)
Ta3MnSb: PBEsol geometry, SCAN.

Properties
N(E_F) in states/eV per atom: 0.986
Space group: Pm-3m, No. 221
DFT total energy in eV per atom: -49.158

Cell: 4.9464 4.9464 4.9464 Å, 90.00 90.00 90.00°
Fractional positions:
Ta (0.0000, 0.0000, 0.5000)
Ta (0.0000, 0.5000, 0.0000)
Ta (0.5000, 0.0000, 0.0000)
Mn (0.5000, 0.5000, 0.5000)
Sb (0.0000, 0.0000, 0.0000)